Entry 1:
Compound: PrAl
Source: Alexandria via LeMat-Bulk
Functional: meta-GGA SCAN
Structure: PBEsol geometry

* density of states at the Fermi level: 0.262 states/eV/atom
* E_tot: -25.90 eV/atom

CIF file:
```
data_PrAl
_chemical_formula_sum 'Pr1 Al1'
_cell_length_a 3.7090
_cell_length_b 3.7090
_cell_length_c 3.7090
_cell_angle_alpha 90.00
_cell_angle_beta 90.00
_cell_angle_gamma 90.00
_space_group_name_H-M_alt 'P m -3 m'
_space_group_IT_number 221
_space_group_name_Hall '-P 4 2 3'
loop_
_atom_site_label
_atom_site_type_symbol
_atom_site_fract_x
_atom_site_fract_y
_atom_site_fract_z
Pr1 Pr 0.0000 0.0000 0.0000
Al1 Al 0.5000 0.5000 0.5000
```

Entry 2:
Compound: PbAu2S2
Source: Alexandria via LeMat-Bulk
Functional: meta-GGA SCAN
Structure: PBEsol geometry

* density of states at the Fermi level: 0.423 states/eV/atom
* energy relative to the elements, uncorrected: 14.66 kJ per mole of atoms

CIF file:
```
data_PbAu2S2
_chemical_formula_sum 'Pb2 Au4 S4'
_cell_length_a 4.8537
_cell_length_b 4.8537
_cell_length_c 8.7939
_cell_angle_alpha 90.00
_cell_angle_beta 90.00
_cell_angle_gamma 90.00
_space_group_name_H-M_alt 'I 4/m m m'
_space_group_IT_number 139
_space_group_name_Hall '-I 4 2'
loop_
_atom_site_label
_atom_site_type_symbol
_atom_site_fract_x
_atom_site_fract_y
_atom_site_fract_z
Pb1 Pb 0.0000 0.0000 0.0000
Au1 Au 0.0000 0.0000 0.3422
S1 S 0.0000 0.5000 0.2500
```

Entry 3:
Compound: CaTe4Rh
Source: Alexandria via LeMat-Bulk
Functional: meta-GGA SCAN
Structure: PBEsol geometry

* density of states at the Fermi level: 0.769 states/eV/atom
* energy relative to the elements, uncorrected: 39.60 kJ per mole of atoms

CIF file:
```
data_CaTe4Rh
_chemical_formula_sum 'Ca4 Te16 Rh4'
_cell_length_a 8.7061
_cell_length_b 8.7061
_cell_length_c 8.7061
_cell_angle_alpha 90.00
_cell_angle_beta 90.00
_cell_angle_gamma 90.00
_space_group_name_H-M_alt 'F -4 3 m'
_space_group_IT_number 216
_space_group_name_Hall 'F -4 2 3'
loop_
_atom_site_label
_atom_site_type_symbol
_atom_site_fract_x
_atom_site_fract_y
_atom_site_fract_z
Ca1 Ca 0.0000 0.0000 0.0000
Te1 Te 0.1239 0.1239 0.6239
Rh1 Rh 0.2500 0.2500 0.2500
```

Entry 4:
Compound: InAgCl2
Source: Alexandria via LeMat-Bulk
Functional: meta-GGA SCAN
Structure: PBEsol geometry

* density of states at the Fermi level: 0.172 states/eV/atom
* energy relative to the elements, uncorrected: -48.65 kJ per mole of atoms

CIF file:
```
data_InAgCl2
_chemical_formula_sum 'In3 Ag3 Cl6'
_cell_length_a 3.5188
_cell_length_b 3.5188
_cell_length_c 26.2304
_cell_angle_alpha 90.00
_cell_angle_beta 90.00
_cell_angle_gamma 120.00
_space_group_name_H-M_alt 'R -3 m'
_space_group_IT_number 166
_space_group_name_Hall '-R 3 2"'
loop_
_atom_site_label
_atom_site_type_symbol
_atom_site_fract_x
_atom_site_fract_y
_atom_site_fract_z
In1 In 0.0000 0.0000 0.0000
Ag1 Ag 0.0000 0.0000 0.5000
Cl1 Cl 0.0000 0.0000 0.1018
```

Entry 5:
Compound: KSb2Se
Source: Alexandria via LeMat-Bulk
Functional: meta-GGA SCAN
Structure: PBEsol geometry

* energy above the most stable polymorph in this dataset: 279 meV/atom
* density of states at the Fermi level: 0.510 states/eV/atom
* energy relative to the elements, uncorrected: 7.93 kJ per mole of atoms

CIF file:
```
data_KSb2Se
_chemical_formula_sum 'K2 Sb4 Se2'
_cell_length_a 4.2645
_cell_length_b 5.4884
_cell_length_c 9.3789
_cell_angle_alpha 90.00
_cell_angle_beta 90.00
_cell_angle_gamma 90.00
_space_group_name_H-M_alt 'C m m m'
_space_group_IT_number 65
_space_group_name_Hall '-C 2 2'
loop_
_atom_site_label
_atom_site_type_symbol
_atom_site_fract_x
_atom_site_fract_y
_atom_site_fract_z
K1 K 0.0000 0.0000 0.0000
Sb1 Sb 0.0000 0.5000 0.2948
Se1 Se 0.0000 0.0000 0.5000
```

Entry 6:
Compound: SnH10C3NCl3
Source: Alexandria via LeMat-Bulk
Functional: meta-GGA SCAN
Structure: PBEsol geometry

* density of states at the Fermi level: 0.000 states/eV/atom
* E_tot: -7.89 eV/atom

CIF file:
```
data_SnH10C3NCl3
_chemical_formula_sum 'Sn4 H40 C12 N4 Cl12'
_cell_length_a 9.4662
_cell_length_b 8.1379
_cell_length_c 12.1218
_cell_angle_alpha 90.00
_cell_angle_beta 90.00
_cell_angle_gamma 90.00
_space_group_name_H-M_alt 'C m c 21'
_space_group_IT_number 36
_space_group_name_Hall 'C 2c -2'
loop_
_atom_site_label
_atom_site_type_symbol
_atom_site_fract_x
_atom_site_fract_y
_atom_site_fract_z
Sn1 Sn 0.0000 0.0375 0.0000
H1 H 0.0000 0.3090 0.2917
H2 H 0.0000 0.3350 0.8417
H3 H 0.0956 0.4089 0.4012
H4 H 0.1277 0.2969 0.6755
H5 H 0.1290 0.4834 0.1555
H6 H 0.2226 0.4266 0.7704
C1 C 0.0000 0.4131 0.3496
C2 C 0.1290 0.4169 0.7170
N1 N 0.0000 0.4321 0.7855
Cl1 Cl 0.0000 0.0217 0.7919
Cl2 Cl 0.1856 0.2591 0.9933
```

Entry 7:
Compound: CrC3F
Source: Alexandria via LeMat-Bulk
Functional: meta-GGA SCAN
Structure: PBEsol geometry

* density of states at the Fermi level: 0.508 states/eV/atom
* energy relative to the elements, uncorrected: 279.74 kJ per mole of atoms

CIF file:
```
data_CrC3F
_chemical_formula_sum 'Cr1 C3 F1'
_cell_length_a 3.5665
_cell_length_b 3.5665
_cell_length_c 3.5665
_cell_angle_alpha 90.00
_cell_angle_beta 90.00
_cell_angle_gamma 90.00
_space_group_name_H-M_alt 'P m -3 m'
_space_group_IT_number 221
_space_group_name_Hall '-P 4 2 3'
loop_
_atom_site_label
_atom_site_type_symbol
_atom_site_fract_x
_atom_site_fract_y
_atom_site_fract_z
Cr1 Cr 0.0000 0.0000 0.0000
C1 C 0.0000 0.5000 0.5000
F1 F 0.5000 0.5000 0.5000
```

Entry 8:
Compound: MgIrN3
Source: Alexandria via LeMat-Bulk
Functional: meta-GGA SCAN
Structure: PBEsol geometry

* density of states at the Fermi level: 0.568 states/eV/atom
* energy relative to the elements, uncorrected: 220.50 kJ per mole of atoms

CIF file:
```
data_MgIrN3
_chemical_formula_sum 'Mg1 Ir1 N3'
_cell_length_a 3.7813
_cell_length_b 3.7813
_cell_length_c 3.7813
_cell_angle_alpha 90.00
_cell_angle_beta 90.00
_cell_angle_gamma 90.00
_space_group_name_H-M_alt 'P m -3 m'
_space_group_IT_number 221
_space_group_name_Hall '-P 4 2 3'
loop_
_atom_site_label
_atom_site_type_symbol
_atom_site_fract_x
_atom_site_fract_y
_atom_site_fract_z
Mg1 Mg 0.0000 0.0000 0.0000
Ir1 Ir 0.5000 0.5000 0.5000
N1 N 0.0000 0.0000 0.5000
```

Entry 9:
Compound: KIn2Se
Source: Alexandria via LeMat-Bulk
Functional: meta-GGA SCAN
Structure: PBEsol geometry

* density of states at the Fermi level: 0.350 states/eV/atom
* energy relative to the elements, uncorrected: -35.08 kJ per mole of atoms

CIF file:
```
data_KIn2Se
_chemical_formula_sum 'K2 In4 Se2'
_cell_length_a 6.1940
_cell_length_b 11.6124
_cell_length_c 4.1570
_cell_angle_alpha 90.00
_cell_angle_beta 131.70
_cell_angle_gamma 90.00
_space_group_name_H-M_alt 'C 1 2/m 1'
_space_group_IT_number 12
_space_group_name_Hall '-C 2y'
loop_
_atom_site_label
_atom_site_type_symbol
_atom_site_fract_x
_atom_site_fract_y
_atom_site_fract_z
K1 K 0.0000 0.0000 0.0000
In1 In 0.2500 0.2500 0.0000
Se1 Se 0.0000 0.5000 0.0000
```

Entry 10:
Compound: Ca2AsAu
Source: Alexandria via LeMat-Bulk
Functional: meta-GGA SCAN
Structure: PBEsol geometry

* density of states at the Fermi level: 0.215 states/eV/atom
* E_tot: -28.23 eV/atom

CIF file:
```
data_Ca2AsAu
_chemical_formula_sum 'Ca2 As1 Au1'
_cell_length_a 5.0082
_cell_length_b 5.0082
_cell_length_c 3.6198
_cell_angle_alpha 90.00
_cell_angle_beta 90.00
_cell_angle_gamma 90.00
_space_group_name_H-M_alt 'P 4/m m m'
_space_group_IT_number 123
_space_group_name_Hall '-P 4 2'
loop_
_atom_site_label
_atom_site_type_symbol
_atom_site_fract_x
_atom_site_fract_y
_atom_site_fract_z
Ca1 Ca 0.0000 0.5000 0.0000
As1 As 0.0000 0.0000 0.5000
Au1 Au 0.5000 0.5000 0.5000
```

Entry 11:
Compound: ZnPtRh2
Source: Alexandria via LeMat-Bulk
Functional: meta-GGA SCAN
Structure: PBEsol geometry

* density of states at the Fermi level: 0.996 states/eV/atom
* E_tot: -38.04 eV/atom

CIF file:
```
data_ZnPtRh2
_chemical_formula_sum 'Zn1 Pt1 Rh2'
_cell_length_a 2.7186
_cell_length_b 2.7186
_cell_length_c 7.4784
_cell_angle_alpha 90.00
_cell_angle_beta 90.00
_cell_angle_gamma 90.00
_space_group_name_H-M_alt 'P 4 m m'
_space_group_IT_number 99
_space_group_name_Hall 'P 4 -2'
loop_
_atom_site_label
_atom_site_type_symbol
_atom_site_fract_x
_atom_site_fract_y
_atom_site_fract_z
Zn1 Zn 0.0000 0.0000 0.0000
Pt1 Pt 0.5000 0.5000 0.2506
Rh1 Rh 0.0000 0.0000 0.5137
Rh2 Rh 0.5000 0.5000 0.7535
```

Entry 12:
Compound: NaNiPS2
Source: Alexandria via LeMat-Bulk
Functional: meta-GGA SCAN
Structure: PBEsol geometry

* density of states at the Fermi level: 1.342 states/eV/atom
* energy relative to the elements, uncorrected: 148.10 kJ per mole of atoms

CIF file:
```
data_NaNiPS2
_chemical_formula_sum 'Na1 Ni1 P1 S2'
_cell_length_a 4.6966
_cell_length_b 4.6966
_cell_length_c 4.6659
_cell_angle_alpha 90.00
_cell_angle_beta 90.00
_cell_angle_gamma 90.00
_space_group_name_H-M_alt 'P 4/m m m'
_space_group_IT_number 123
_space_group_name_Hall '-P 4 2'
loop_
_atom_site_label
_atom_site_type_symbol
_atom_site_fract_x
_atom_site_fract_y
_atom_site_fract_z
Na1 Na 0.0000 0.0000 0.0000
Ni1 Ni 0.5000 0.5000 0.5000
P1 P 0.0000 0.0000 0.5000
S1 S 0.0000 0.5000 0.0000
```

Entry 13:
Compound: CoPtSe2N
Source: Alexandria via LeMat-Bulk
Functional: meta-GGA SCAN
Structure: PBEsol geometry

* density of states at the Fermi level: 0.554 states/eV/atom
* energy relative to the elements, uncorrected: 72.68 kJ per mole of atoms

CIF file:
```
data_CoPtSe2N
_chemical_formula_sum 'Co1 Pt1 Se2 N1'
_cell_length_a 5.1137
_cell_length_b 5.1137
_cell_length_c 3.5838
_cell_angle_alpha 90.00
_cell_angle_beta 90.00
_cell_angle_gamma 90.00
_space_group_name_H-M_alt 'P 4/m m m'
_space_group_IT_number 123
_space_group_name_Hall '-P 4 2'
loop_
_atom_site_label
_atom_site_type_symbol
_atom_site_fract_x
_atom_site_fract_y
_atom_site_fract_z
Co1 Co 0.0000 0.0000 0.0000
Pt1 Pt 0.5000 0.5000 0.5000
Se1 Se 0.0000 0.5000 0.5000
N1 N 0.5000 0.5000 0.0000
```

Entry 14:
Compound: LiP2
Source: Alexandria via LeMat-Bulk
Functional: meta-GGA SCAN
Structure: PBEsol geometry

* energy above the most stable polymorph in this dataset: 565 meV/atom
* density of states at the Fermi level: 0.278 states/eV/atom

CIF file:
```
data_LiP2
_chemical_formula_sum 'Li4 P8'
_cell_length_a 5.5407
_cell_length_b 5.5407
_cell_length_c 5.5407
_cell_angle_alpha 90.00
_cell_angle_beta 90.00
_cell_angle_gamma 90.00
_space_group_name_H-M_alt 'F m -3 m'
_space_group_IT_number 225
_space_group_name_Hall '-F 4 2 3'
loop_
_atom_site_label
_atom_site_type_symbol
_atom_site_fract_x
_atom_site_fract_y
_atom_site_fract_z
Li1 Li 0.0000 0.0000 0.0000
P1 P 0.2500 0.2500 0.2500
```

Entry 15:
Compound: BaNbSCl2
Source: Alexandria via LeMat-Bulk
Functional: meta-GGA SCAN
Structure: PBEsol geometry

* density of states at the Fermi level: 0.355 states/eV/atom
* energy relative to the elements, uncorrected: -145.81 kJ per mole of atoms

CIF file:
```
data_BaNbSCl2
_chemical_formula_sum 'Ba1 Nb1 S1 Cl2'
_cell_length_a 4.9287
_cell_length_b 4.9287
_cell_length_c 4.8457
_cell_angle_alpha 90.00
_cell_angle_beta 90.00
_cell_angle_gamma 90.00
_space_group_name_H-M_alt 'P 4/m m m'
_space_group_IT_number 123
_space_group_name_Hall '-P 4 2'
loop_
_atom_site_label
_atom_site_type_symbol
_atom_site_fract_x
_atom_site_fract_y
_atom_site_fract_z
Ba1 Ba 0.0000 0.0000 0.0000
Nb1 Nb 0.5000 0.5000 0.5000
S1 S 0.5000 0.5000 0.0000
Cl1 Cl 0.0000 0.5000 0.5000
```

Entry 16:
Compound: K2CrP
Source: Alexandria via LeMat-Bulk
Functional: meta-GGA SCAN
Structure: PBEsol geometry

* density of states at the Fermi level: 0.256 states/eV/atom
* E_tot: -11.46 eV/atom

CIF file:
```
data_K2CrP
_chemical_formula_sum 'K2 Cr1 P1'
_cell_length_a 3.4433
_cell_length_b 3.4433
_cell_length_c 9.8624
_cell_angle_alpha 90.00
_cell_angle_beta 90.00
_cell_angle_gamma 90.00
_space_group_name_H-M_alt 'P 4 m m'
_space_group_IT_number 99
_space_group_name_Hall 'P 4 -2'
loop_
_atom_site_label
_atom_site_type_symbol
_atom_site_fract_x
_atom_site_fract_y
_atom_site_fract_z
K1 K 0.0000 0.0000 0.0000
K2 K 0.5000 0.5000 0.4106
Cr1 Cr 0.5000 0.5000 0.7201
P1 P 0.0000 0.0000 0.6677
```

Entry 17:
Compound: Re2SbPW
Source: Alexandria via LeMat-Bulk
Functional: meta-GGA SCAN
Structure: PBEsol geometry

* density of states at the Fermi level: 0.988 states/eV/atom
* energy relative to the elements, uncorrected: 168.61 kJ per mole of atoms

CIF file:
```
data_Re2SbPW
_chemical_formula_sum 'Re2 Sb1 P1 W1'
_cell_length_a 4.3245
_cell_length_b 4.3245
_cell_length_c 4.8765
_cell_angle_alpha 90.00
_cell_angle_beta 90.00
_cell_angle_gamma 90.00
_space_group_name_H-M_alt 'P 4/m m m'
_space_group_IT_number 123
_space_group_name_Hall '-P 4 2'
loop_
_atom_site_label
_atom_site_type_symbol
_atom_site_fract_x
_atom_site_fract_y
_atom_site_fract_z
Re1 Re 0.0000 0.5000 0.0000
Sb1 Sb 0.0000 0.0000 0.5000
P1 P 0.0000 0.0000 0.0000
W1 W 0.5000 0.5000 0.5000
```

Entry 18:
Compound: CrSi3Os
Source: Alexandria via LeMat-Bulk
Functional: meta-GGA SCAN
Structure: PBEsol geometry

* density of states at the Fermi level: 0.632 states/eV/atom
* energy relative to the elements, uncorrected: 71.41 kJ per mole of atoms

CIF file:
```
data_CrSi3Os
_chemical_formula_sum 'Cr1 Si3 Os1'
_cell_length_a 4.6043
_cell_length_b 4.6043
_cell_length_c 4.6043
_cell_angle_alpha 90.00
_cell_angle_beta 90.00
_cell_angle_gamma 90.00
_space_group_name_H-M_alt 'P m -3 m'
_space_group_IT_number 221
_space_group_name_Hall '-P 4 2 3'
loop_
_atom_site_label
_atom_site_type_symbol
_atom_site_fract_x
_atom_site_fract_y
_atom_site_fract_z
Cr1 Cr 0.0000 0.0000 0.0000
Si1 Si 0.0000 0.5000 0.5000
Os1 Os 0.5000 0.5000 0.5000
```

Entry 19:
Compound: NiSe2
Source: Alexandria via LeMat-Bulk
Functional: meta-GGA SCAN
Structure: PBEsol geometry

* density of states at the Fermi level: 0.550 states/eV/atom
* energy relative to the elements, uncorrected: -22.87 kJ per mole of atoms

CIF file:
```
data_NiSe2
_chemical_formula_sum 'Ni2 Se4'
_cell_length_a 4.8519
_cell_length_b 5.8724
_cell_length_c 3.6314
_cell_angle_alpha 90.00
_cell_angle_beta 90.00
_cell_angle_gamma 90.00
_space_group_name_H-M_alt 'P n n m'
_space_group_IT_number 58
_space_group_name_Hall '-P 2 2n'
loop_
_atom_site_label
_atom_site_type_symbol
_atom_site_fract_x
_atom_site_fract_y
_atom_site_fract_z
Ni1 Ni 0.0000 0.0000 0.0000
Se1 Se 0.2120 0.3723 0.0000
```

Entry 20:
Compound: Al2TcNiHg
Source: Alexandria via LeMat-Bulk
Functional: meta-GGA SCAN
Structure: PBEsol geometry

* density of states at the Fermi level: 0.648 states/eV/atom
* E_tot: -26.30 eV/atom

CIF file:
```
data_Al2TcNiHg
_chemical_formula_sum 'Al2 Tc1 Ni1 Hg1'
_cell_length_a 4.7752
_cell_length_b 4.7752
_cell_length_c 4.4079
_cell_angle_alpha 90.00
_cell_angle_beta 90.00
_cell_angle_gamma 90.00
_space_group_name_H-M_alt 'P 4/m m m'
_space_group_IT_number 123
_space_group_name_Hall '-P 4 2'
loop_
_atom_site_label
_atom_site_type_symbol
_atom_site_fract_x
_atom_site_fract_y
_atom_site_fract_z
Al1 Al 0.0000 0.5000 0.0000
Tc1 Tc 0.0000 0.0000 0.0000
Ni1 Ni 0.0000 0.0000 0.5000
Hg1 Hg 0.5000 0.5000 0.5000
```